Entry 1:
The following is a DFT calculation (PBE-GGA) of crystalline Be17Re2B2 at its relaxed geometry.

Computed properties:
* formation energy: 7.71 kJ per mole of atoms
* N(E_F): 5.5 states/eV per cell
* SG: C2/m, No. 12
* total DFT energy (no corrections): -4.76 eV per atom

Unit cell a=5.3414 b=5.3414 c=6.6225 alpha=100.88 beta=100.88 gamma=83.09
Positions (direct):
Be: 0.0000 0.0000 0.0000
Be: 0.0000 0.5000 0.5000
Be: 0.0179 0.3057 0.7378
Be: 0.0901 0.0901 0.3994
Be: 0.2030 0.6571 0.8177
Be: 0.3032 0.6968 0.5000
Be: 0.3057 0.0179 0.7378
Be: 0.3429 0.7970 0.1823
Be: 0.3555 0.3555 0.6075
Be: 0.5000 0.0000 0.5000
Be: 0.6445 0.6445 0.3925
Be: 0.6571 0.2030 0.8177
Be: 0.6943 0.9821 0.2622
Be: 0.6968 0.3032 0.5000
Be: 0.7970 0.3429 0.1823
Be: 0.9099 0.9099 0.6006
Be: 0.9821 0.6943 0.2622
Re: 0.3095 0.3095 0.2109
Re: 0.6905 0.6905 0.7891
B: 0.0000 0.5000 0.0000
B: 0.5000 0.0000 0.0000

***

Entry 2:
The following is a DFT calculation (PBE-GGA) of crystalline CeZrAg2 at its relaxed geometry.

Computed properties:
* formation energy: -2.54 kJ per mole of atoms
* N(E_F): 7.1 states/eV per cell
* SG: P4/mmm, No. 123
* total DFT energy (no corrections): -5.07 eV per atom

Unit cell a=3.0965 b=3.0965 c=8.9988 alpha=90.00 beta=90.00 gamma=90.00
Positions (direct):
Ce: 0.0000 0.0000 0.0000
Zr: 0.0000 0.0000 0.5000
Ag: 0.5000 0.5000 0.2664
Ag: 0.5000 0.5000 0.7336

***

Entry 3:
The following is a DFT calculation (PBE-GGA) of crystalline HfZr4Pa at its relaxed geometry.

Computed properties:
* formation energy: 7.23 kJ per mole of atoms
* N(E_F): 9.3 states/eV per cell
* SG: C2/m, No. 12
* total DFT energy (no corrections): -8.87 eV per atom

Unit cell a=5.8932 b=5.8932 c=6.2305 alpha=120.21 beta=120.21 gamma=49.94
Positions (direct):
Hf: 0.0000 0.0000 0.0000
Zr: 0.3317 0.3317 0.6569
Zr: 0.3371 0.3371 0.1638
Zr: 0.6629 0.6629 0.8362
Zr: 0.6683 0.6683 0.3431
Pa: 0.0000 0.0000 0.5000